VASP calculation (PBE) on crystalline PrBeAu at its relaxed geometry.

Lattice parameters (Å, degrees): 4.2856 4.2856 6.7465 90.00 90.00 90.00
With the nearest neighbours (Å) after each atom.
Fractional positions:
Pr 0.2500 0.2500 0.1699  4 Be 3.09, 6 Au 3.21-3.41
Pr 0.7500 0.7500 0.8301  4 Be 3.09, 6 Au 3.21-3.41
Be 0.2500 0.7500 0.5000  4 Au 2.45
Be 0.7500 0.2500 0.5000  4 Au 2.45
Au 0.2500 0.2500 0.6754  4 Be 2.45
Au 0.7500 0.7500 0.3246  4 Be 2.45

Summary:
For the density, the calculation gives 9.30 g/cm³. As for the formation energy: -424 meV/atom. As for the energy above the most stable polymorph in this dataset: 0.000 eV per atom. The size of the total moment is 0.0 μB per cell. Its total DFT energy (no corrections) is -13.1 eV per formula unit.